This record from OQMD describes an optimized crystal structure of YHfSb2. The functional is GGA-PBE.

CIF file:
```
data_YHfSb2
_cell_length_a 7.374
_cell_length_b 7.374
_cell_length_c 7.374
_cell_angle_alpha 90.00
_cell_angle_beta 90.00
_cell_angle_gamma 90.00
_symmetry_space_group_name_H-M 'F -4 3 m'
_symmetry_Int_Tables_number 216
_symmetry_space_group_name_Hall 'F -4 2 3'
loop_
_atom_site_label
_atom_site_type_symbol
_atom_site_fract_x
_atom_site_fract_y
_atom_site_fract_z
Y1 Y 0.000 0.000 0.000
Hf1 Hf 0.250 0.250 0.250
Sb1 Sb 0.000 0.000 0.500
Sb2 Sb 0.250 0.250 0.750
```

## Properties
The value obtained for the total energy is -98.888 eV per cell.